An optimized crystal structure of PmPa2Pd, computed with PBE.

Cell lengths 3.1725, 3.1725, 34.5390 Å; angles 90.00, 90.00, 120.00 degrees
Closest atoms and distances in Å follow each position.
Space group R-3m (No. 166, hexagonal axes)
Inequivalent atoms, fractional coordinates:
Pm 0.0000 0.0000 0.0000 (multiplicity 3)  6 Pm 3.17
Pa 0.0000 0.0000 0.4222 (multiplicity 6)  1 Pd 2.69
Pd 0.0000 0.0000 0.5000 (multiplicity 3)  2 Pa 2.69

Output
The calculation puts the energy relative to the elements at 5.3 kcal/mol of atoms. The electronic total energy is -7.005 eV per atom.